# 1
DFT (PBE-GGA) results for crystalline NaAu2 at its relaxed geometry.

a = 5.5946 Å, b = 5.5946 Å, c = 9.3217 Å
α = 90.00°, β = 90.00°, γ = 120.00°
Fractional positions:
1 Na 0.3333 0.6667 0.0625
2 Na 0.3333 0.6667 0.4375
3 Na 0.6667 0.3333 0.5625
4 Na 0.6667 0.3333 0.9375
5 Au 0.0000 0.0000 0.0000
6 Au 0.0000 0.0000 0.5000
7 Au 0.1693 0.3385 0.7500
8 Au 0.1693 0.8308 0.7500
9 Au 0.3385 0.1693 0.2500
10 Au 0.6615 0.8308 0.7500
11 Au 0.8308 0.1693 0.2500
12 Au 0.8308 0.6615 0.2500

Properties
* polymorph energy (0 for the lowest one): 19 meV per atom
* magnetization: 0.00 Bohr magnetons per cell
* calculated volume: 63.17 Å³/f.u.
* energy of formation: -351 meV/atom

***

# 2
DFT (PBE-GGA) results for crystalline Na5Au2 at its relaxed geometry.

a = 8.4809 Å, b = 8.4809 Å, c = 8.4125 Å
α = 98.77°, β = 98.77°, γ = 39.54°
Fractional positions:
1 Na 0.1046 0.3330 0.3265
2 Na 0.1634 0.8366 0.7500
3 Na 0.2364 0.5819 0.0684
4 Na 0.3330 0.1046 0.8265
5 Na 0.4181 0.7636 0.4316
6 Na 0.5819 0.2364 0.5684
7 Na 0.6670 0.8954 0.1735
8 Na 0.7636 0.4181 0.9316
9 Na 0.8366 0.1634 0.2500
10 Na 0.8954 0.6670 0.6735
11 Au 0.0833 0.7099 0.4170
12 Au 0.2901 0.9167 0.0830
13 Au 0.7099 0.0833 0.9170
14 Au 0.9167 0.2901 0.5830

Properties
* magnetization: 0.00 Bohr magnetons per cell
* calculated volume: 190.04 Å³/f.u.
* energy of formation: -223 meV/atom

***

# 3
DFT (PBE-GGA) results for crystalline Na7Au3 at its relaxed geometry.

a = 10.3433 Å, b = 10.3433 Å, c = 5.9032 Å
α = 90.00°, β = 90.00°, γ = 120.00°
Fractional positions:
1 Na 0.0672 0.5336 0.0000
2 Na 0.1266 0.2532 0.7781
3 Na 0.1266 0.8734 0.7781
4 Na 0.2532 0.1266 0.2781
5 Na 0.3333 0.6667 0.5167
6 Na 0.4664 0.5336 0.0000
7 Na 0.4664 0.9328 0.0000
8 Na 0.5336 0.0672 0.5000
9 Na 0.5336 0.4664 0.5000
10 Na 0.6667 0.3333 0.0167
11 Na 0.7468 0.8734 0.7781
12 Na 0.8734 0.1266 0.2781
13 Na 0.8734 0.7468 0.2781
14 Na 0.9328 0.4664 0.5000
15 Au 0.1881 0.3762 0.2912
16 Au 0.1881 0.8119 0.2912
17 Au 0.3762 0.1881 0.7912
18 Au 0.6238 0.8119 0.2912
19 Au 0.8119 0.1881 0.7912
20 Au 0.8119 0.6238 0.7912

Properties
* magnetization: 0.00 Bohr magnetons per cell
* calculated volume: 273.46 Å³/f.u.
* energy of formation: -208 meV/atom

***

# 4
DFT (PBE-GGA) results for crystalline Na2Au at its relaxed geometry.

a = 5.4860 Å, b = 5.2689 Å, c = 5.4966 Å
α = 90.00°, β = 118.32°, γ = 90.00°
Fractional positions:
1 Na 0.0231 0.2500 0.3353
2 Na 0.3342 0.2500 0.0241
3 Na 0.6657 0.7500 0.9759
4 Na 0.9769 0.7500 0.6647
5 Au 0.3405 0.7500 0.3401
6 Au 0.6595 0.2500 0.6599

Properties
* magnetization: 0.00 Bohr magnetons per cell
* calculated volume: 69.93 Å³/f.u.
* energy of formation: -229 meV/atom

***

no.,VASP energy (eV/atom),Fermi-level density of states (states/eV/cell)
1,-2.98,2.45
2,-2.10,4.42
3,-2.11,8.67
4,-2.20,2.01